No. 1
Density functional theory data (PBE) for crystalline ScTiNb at its relaxed geometry.

```
3
Lattice="2.908 0.000 0.000 0.000 4.782 0.000 0.000 -2.391 4.141" Properties=species:S:1:pos:R:3 pbc="T T T"
Sc 0.484 2.391 1.380
Nb 1.938 0.000 2.761
Ti 0.486 0.000 0.000
```


No. 2
Density functional theory data (PBE) for crystalline SrMgP at its relaxed geometry.

```
3
Lattice="-2.436 1.021 3.484 -1.834 -1.960 -3.452 0.927 -4.149 1.863" Properties=species:S:1:pos:R:3 pbc="T T T"
Mg 0.154 -0.691 0.311
P -2.081 -0.664 1.483
Sr -1.417 -3.732 0.103
```


no.,energy above the lowest structure with this stoichiometry (meV per atom),N(E_F) (states/eV/cell),energy relative to the elements (eV/atom)
1,112,3.75,0.161
2,0,0.98,-0.679